ThMgZnSn, relaxed, DFT PBE-GGA; calculated volume = 24.37 A^3/atom; calculated formation energy = -199 meV/atom; Fermi-level density of states = 3.210 states/eV per cell; total moment = 0.00 μB/cell
1.0
0.000 3.653 3.653
3.653 0.000 3.653
3.653 3.653 0.000
Th Mg Zn Sn
1 1 1 1
Direct
0.000 0.000 0.000 Th
0.500 0.500 0.500 Mg
0.250 0.250 0.250 Zn
0.750 0.750 0.750 Sn


Cs4HBr2, relaxed, DFT PBE-GGA; calculated volume = 50.65 A^3/atom; Fermi-level density of states = 2.070 states/eV per cell; calculated total energy = -2.4116 eV per atom; total moment = 0.00 μB/cell
1.0
-3.091 3.091 9.277
3.091 -3.091 9.277
3.091 3.091 -9.277
Cs H Br
4 1 2
Direct
0.000 0.500 0.500 Cs
0.189 0.189 0.000 Cs
0.500 0.000 0.500 Cs
0.811 0.811 0.000 Cs
0.000 0.000 0.000 H
0.382 0.382 0.000 Br
0.618 0.618 0.000 Br


- What is the calculated volume in the first record?
  24.37 A^3/atom


- Which of these has the highest Fermi-level density of states?
  ThMgZnSn


- What is the Fermi-level density of states in the second record?
  2.070 states/eV per cell